# Ce5Tl2Hg, optimized geometry, DFT PBE-GGA
# Energy above the most stable polymorph in this dataset: 156 meV/atom
# Total DFT energy (no corrections): -35.14 eV/f.u.
# Mass density: 9.7 g/cm³
# Total magnetic moment: 0.22 μB per atom
# Formation energy from the elements: -54 meV per atom
# Density of states at the Fermi level: 81.3 states/eV per cell
data_Ce5Tl2Hg
_symmetry_space_group_name_H-M 'C m c m'
_symmetry_Int_Tables_number 63
_symmetry_space_group_name_Hall '-C 2c 2'
_cell_length_a 5.3901
_cell_length_b 11.5658
_cell_length_c 14.4552
_cell_angle_alpha 90.00
_cell_angle_beta 90.00
_cell_angle_gamma 90.00
loop_
_atom_site_label
_atom_site_type_symbol
_atom_site_fract_x
_atom_site_fract_y
_atom_site_fract_z
Ce1 Ce 0.0000 0.0276 0.2500
Ce2 Ce 0.0000 0.1075 0.5227
Ce3 Ce 0.0000 0.4196 0.5665
Tl1 Tl 0.0000 0.3089 0.1434
Hg1 Hg 0.0000 0.2740 0.7500